The following is a PBE-GGA calculation of Tb2Pm3Cd4 after structural relaxation, from the Alexandria database.

POSCAR file:
```
Tb2Pm3Cd4
1.0
-4.397 -4.960 -1.019
5.610 -5.449 2.317
-0.827 3.274 9.704
Cd Pm Tb
8 6 4
Cartesian
0.615 -2.071 7.427 Cd
-0.229 -5.065 3.575 Cd
-4.165 -2.044 5.852 Cd
4.551 -5.092 5.151 Cd
-2.369 -4.958 1.255 Cd
-0.170 -2.478 1.764 Cd
2.755 -2.178 9.747 Cd
0.557 -4.658 9.238 Cd
0.000 0.000 0.000 Pm
-1.185 -2.212 4.847 Pm
1.571 -4.924 6.155 Pm
0.607 -5.205 0.649 Pm
-3.383 -4.692 4.338 Pm
3.770 -2.444 6.664 Pm
-2.437 -4.008 7.960 Tb
-1.921 0.106 7.775 Tb
2.823 -3.127 3.042 Tb
2.307 -7.242 3.228 Tb
```

Results
density = 7.52 Mg/m³
calculated formation energy = -127.3 meV per atom